A plane-wave DFT calculation with PBE was carried out for Ga2Hg2Pd after structural relaxation.

a b c (Å): 6.653 6.653 4.718
angles (deg): 90.00 90.00 90.00
Atoms (fractional coordinates):
Ga 0.143 0.357 0.000
Ga 0.357 0.857 0.000
Ga 0.643 0.143 0.000
Ga 0.857 0.643 0.000
Hg 0.181 0.681 0.500
Hg 0.319 0.181 0.500
Hg 0.681 0.819 0.500
Hg 0.819 0.319 0.500
Pd 0.000 0.000 0.000
Pd 0.500 0.500 0.000

As for the space group: P4/mbm. For the total DFT energy (no corrections), the calculation gives -2.41 eV per atom. Its calculated volume is 104 Å³/f.u. The value obtained for the density of states at the Fermi level is 0.432 states/eV per atom. Its size of the total moment is 0.000 μB per atom.


A plane-wave DFT calculation with PBE was carried out for Dy2PSe after structural relaxation.

a b c (Å): 7.338 7.338 7.338
angles (deg): 31.35 31.35 31.35
Atoms (fractional coordinates):
Dy 0.000 0.000 0.000
Dy 0.185 0.185 0.185
P 0.591 0.591 0.591
Se 0.760 0.760 0.760

As for the space group: R3m. For the total DFT energy (no corrections), the calculation gives -6.24 eV per atom. Its raw formation energy is -1.72 eV/atom. Its calculated volume is 95 Å³/f.u. The value obtained for the density of states at the Fermi level is 0.591 states/eV per atom. Its size of the total moment is 0.000 μB per atom.